The following is a DFT calculation (PBE-GGA) of a geometry-optimized SnBi4Pb15 structure.

Unit cell a=5.952 b=5.952 c=17.754 alpha=90.00 beta=90.00 gamma=90.00
Sites, in units of the cell vectors:
Sn1 0.000 0.000 0.000
Bi1 0.000 0.000 0.197
Bi2 0.000 0.000 0.400
Bi3 0.000 0.000 0.600
Bi4 0.000 0.000 0.803
Pb1 0.000 0.500 0.098
Pb2 0.000 0.500 0.298
Pb3 0.000 0.500 0.500
Pb4 0.000 0.500 0.702
Pb5 0.000 0.500 0.902
Pb6 0.500 0.000 0.098
Pb7 0.500 0.000 0.298
Pb8 0.500 0.000 0.500
Pb9 0.500 0.000 0.702
Pb10 0.500 0.000 0.902
Pb11 0.500 0.500 0.000
Pb12 0.500 0.500 0.201
Pb13 0.500 0.500 0.400
Pb14 0.500 0.500 0.600
Pb15 0.500 0.500 0.799

Values from the calculation:
As for the formation energy: 22 meV per atom. Its space group is P4/mmm.